(1)
# Li3Mg4Ag

An optimized crystal structure of Li3Mg4Ag (PBE-GGA, Alexandria via LeMat-Bulk).

Unit cell a=3.4004 b=3.4004 c=13.5509 alpha=90.00 beta=90.00 gamma=90.00
With the nearest neighbours (Å) after each atom.
Element x y z (fractional)
Mg 0.0000 0.0000 0.8816  4 Ag 2.89, 4 Li 2.95, 1 Mg 3.21
Mg 0.0000 0.0000 0.6280  8 Li 2.96
Li 0.5000 0.5000 0.7554  8 Mg 2.95-2.96
Li 0.5000 0.5000 0.2446  8 Mg 2.95-2.96
Ag 0.5000 0.5000 0.0000  8 Mg 2.89
Mg 0.0000 0.0000 0.3720  8 Li 2.96
Li 0.5000 0.5000 0.5000  8 Mg 2.96
Mg 0.0000 0.0000 0.1184  4 Ag 2.89, 4 Li 2.95, 1 Mg 3.21

D(E_F) (states/eV/atom): 0.44
ΔE to the lowest computed polymorph (kJ/mol of atoms): 0.0
Energy of formation (eV/atom): -0.115
Raw total energy (eV/cell): -15.89

(2)
# Li12Mg7Ag

An optimized crystal structure of Li12Mg7Ag (PBE-GGA, Alexandria via LeMat-Bulk).

Unit cell a=7.4171 b=7.4171 c=7.4171 alpha=93.18 beta=93.18 gamma=93.18
With the nearest neighbours (Å) after each atom.
Element x y z (fractional)
Li 0.2548 0.1229 0.7474  2 Li 2.64-2.79, 1 Ag 2.88
Li 0.1419 0.4916 0.6248  3 Li 2.64-2.79, 1 Mg 2.86
Li 0.1229 0.7474 0.2548  2 Li 2.64-2.79, 1 Ag 2.88
Mg 0.6180 0.9389 0.8491  1 Ag 2.99, 7 Li 3.02-3.16, 3 Mg 3.05-3.09
Mg 0.5000 0.5000 0.5000  6 Li 2.86
Li 0.7474 0.2548 0.1229  2 Li 2.64-2.79, 1 Ag 2.88
Mg 0.1509 0.3820 0.0611  1 Ag 2.99, 7 Li 3.02-3.16, 3 Mg 3.05-3.09
Li 0.8581 0.5084 0.3752  3 Li 2.64-2.79, 1 Mg 2.86
Li 0.5084 0.3752 0.8581  3 Li 2.64-2.79, 1 Mg 2.86
Mg 0.3820 0.0611 0.1509  1 Ag 2.99, 7 Li 3.02-3.16, 3 Mg 3.05-3.09
Li 0.3752 0.8581 0.5084  3 Li 2.64-2.79, 1 Mg 2.86
Li 0.4916 0.6248 0.1419  3 Li 2.64-2.79, 1 Mg 2.86
Ag 0.0000 0.0000 0.0000  6 Li 2.88, 6 Mg 2.99
Li 0.8771 0.2526 0.7452  2 Li 2.64-2.79, 1 Ag 2.88
Mg 0.8491 0.6180 0.9389  1 Ag 2.99, 7 Li 3.02-3.16, 3 Mg 3.05-3.09
Li 0.6248 0.1419 0.4916  3 Li 2.64-2.79, 1 Mg 2.86
Li 0.7452 0.8771 0.2526  2 Li 2.64-2.79, 1 Ag 2.88
Mg 0.9389 0.8491 0.6180  1 Ag 2.99, 7 Li 3.02-3.16, 3 Mg 3.05-3.09
Li 0.2526 0.7452 0.8771  2 Li 2.64-2.79, 1 Ag 2.88
Mg 0.0611 0.1509 0.3820  1 Ag 2.99, 7 Li 3.02-3.16, 3 Mg 3.05-3.09

D(E_F) (states/eV/atom): 0.35
ΔE to the lowest computed polymorph (kJ/mol of atoms): 0.0
Energy of formation (eV/atom): -0.018
Raw total energy (eV/cell): -37.33

(3)
# Li4Mg5Ag2

An optimized crystal structure of Li4Mg5Ag2 (PBE-GGA, Alexandria via LeMat-Bulk).

Unit cell a=3.1063 b=8.2843 c=14.8078 alpha=142.98 beta=108.28 gamma=68.01
With the nearest neighbours (Å) after each atom.
Element x y z (fractional)
Li 0.8874 0.7732 0.1069  1 Li 2.67, 4 Ag 2.76-2.90, 3 Mg 2.96
Ag 0.7054 0.5063 0.1414  6 Li 2.73-2.90, 2 Mg 2.97-2.99
Mg 0.2434 0.2846 0.3510  4 Li 2.83-2.96, 6 Mg 3.07-3.11
Mg 0.9044 0.9898 0.5988  4 Li 2.79-3.00, 2 Ag 2.97-2.99, 4 Mg 3.10-3.11
Mg 0.5000 0.0000 0.0000  4 Li 2.89-3.06, 4 Ag 3.09, 2 Mg 3.11
Ag 0.2946 0.4937 0.8586  6 Li 2.73-2.90, 2 Mg 2.97-2.99
Li 0.5691 0.4612 0.6855  2 Ag 2.73, 6 Mg 2.79-3.00
Mg 0.0956 0.0102 0.4012  4 Li 2.79-3.00, 2 Ag 2.97-2.99, 4 Mg 3.10-3.11
Li 0.4309 0.5388 0.3145  2 Ag 2.73, 6 Mg 2.79-3.00
Li 0.1126 0.2268 0.8931  1 Li 2.67, 4 Ag 2.76-2.90, 3 Mg 2.96
Mg 0.7565 0.7154 0.6490  4 Li 2.83-2.96, 6 Mg 3.07-3.11

D(E_F) (states/eV/atom): 0.34
ΔE to the lowest computed polymorph (kJ/mol of atoms): 0.0
Energy of formation (eV/atom): -0.083
Raw total energy (eV/cell): -22.24

(4)
# Li5Mg12Ag2

An optimized crystal structure of Li5Mg12Ag2 (PBE-GGA, Alexandria via LeMat-Bulk).

Unit cell a=8.2831 b=8.0224 c=7.1560 alpha=90.47 beta=90.00 gamma=121.08
With the nearest neighbours (Å) after each atom.
Element x y z (fractional)
Mg 0.9127 0.8255 0.1192  5 Mg 2.96-3.08, 2 Ag 2.96, 3 Li 2.97-3.21
Mg 0.8249 0.2494 0.6568  4 Li 2.99-3.21, 6 Mg 3.00-3.32, 1 Ag 3.01
Mg 0.9684 0.3078 0.2317  1 Ag 2.86, 4 Mg 2.99-3.14, 3 Li 3.07-3.14
Ag 0.6908 0.0000 0.0000  8 Mg 2.85-3.01, 2 Li 3.02, 1 Ag 3.16
Mg 0.1751 0.7506 0.3432  4 Li 2.99-3.21, 6 Mg 3.00-3.32, 1 Ag 3.01
Mg 0.4438 0.8875 0.6863  2 Ag 2.85, 2 Li 2.92-2.97, 7 Mg 2.99-3.10
Li 0.0000 0.0000 0.5000  10 Mg 2.97-3.25, 2 Li 3.28
Mg 0.0873 0.1745 0.8808  5 Mg 2.96-3.08, 2 Ag 2.96, 3 Li 2.97-3.21
Li 0.6872 0.3745 0.9955  8 Mg 2.92-3.21, 2 Ag 3.02
Li 0.7640 0.5280 0.4304  8 Mg 2.97-3.07, 2 Li 3.28
Mg 0.4246 0.2494 0.6568  4 Li 2.99-3.21, 6 Mg 3.00-3.32, 1 Ag 3.01
Mg 0.5562 0.1125 0.3137  2 Ag 2.85, 2 Li 2.92-2.97, 7 Mg 2.99-3.10
Mg 0.0316 0.6922 0.7683  1 Ag 2.86, 4 Mg 2.99-3.14, 3 Li 3.07-3.14
Li 0.3128 0.6255 0.0045  8 Mg 2.92-3.21, 2 Ag 3.02
Li 0.2360 0.4720 0.5696  8 Mg 2.97-3.07, 2 Li 3.28
Mg 0.6607 0.6922 0.7683  1 Ag 2.86, 4 Mg 2.99-3.14, 3 Li 3.07-3.14
Mg 0.5754 0.7506 0.3432  4 Li 2.99-3.21, 6 Mg 3.00-3.32, 1 Ag 3.01
Mg 0.3393 0.3078 0.2317  1 Ag 2.86, 4 Mg 2.99-3.14, 3 Li 3.07-3.14
Ag 0.3092 0.0000 0.0000  8 Mg 2.85-3.01, 2 Li 3.02, 1 Ag 3.16

D(E_F) (states/eV/atom): 0.35
ΔE to the lowest computed polymorph (kJ/mol of atoms): 3.1
Energy of formation (eV/atom): -0.037
Raw total energy (eV/cell): -35.11